# MnAsOs2

A relaxed structure of MnAsOs2 (PBE-GGA, Alexandria via LeMat-Bulk).

## Properties
Fermi-level density of states in states/eV/atom: 1.156
VASP energy in eV per cell: -34.884
Calculated formation energy in eV per atom: 0.349

a = 8.405 Å, b = 8.405 Å, c = 8.405 Å
α = 19.30°, β = 19.30°, γ = 19.30°
Positions (direct):
As1 0.250 0.250 0.250
Os1 0.498 0.498 0.498
Os2 0.002 0.002 0.002
Mn1 0.750 0.750 0.750

---

# Ba2PN

A relaxed structure of Ba2PN (PBE-GGA, Alexandria via LeMat-Bulk).

## Properties
Fermi-level density of states in states/eV/atom: 0.548
VASP energy in eV per cell: -36.532
Raw formation energy in meV per atom: -171

a = 7.634 Å, b = 7.634 Å, c = 6.939 Å
α = 56.63°, β = 56.63°, γ = 90.00°
Positions (direct):
P1 0.750 0.250 0.500
P2 0.000 0.000 0.000
Ba1 0.188 0.625 0.250
Ba2 0.562 0.125 0.250
Ba3 0.875 0.812 0.750
Ba4 0.375 0.438 0.750
N1 0.500 0.500 0.000
N2 0.250 0.750 0.500

---

# K2PaRh2S4

A relaxed structure of K2PaRh2S4 (PBE-GGA, Alexandria via LeMat-Bulk).

## Properties
Fermi-level density of states in states/eV/atom: 0.582
VASP energy in eV per cell: -52.666
Raw formation energy in meV per atom: -1085

a = 3.875 Å, b = 7.494 Å, c = 7.713 Å
α = 109.10°, β = 90.00°, γ = 104.99°
Positions (direct):
S1 0.481 0.962 0.235
S2 0.194 0.388 0.180
S3 0.519 0.038 0.765
S4 0.806 0.612 0.820
Pa1 0.000 0.000 0.000
Rh1 0.682 0.365 0.001
Rh2 0.318 0.635 0.999
K1 0.135 0.269 0.565
K2 0.865 0.731 0.435

---

# Dy3ScHg

A relaxed structure of Dy3ScHg (PBE-GGA, Alexandria via LeMat-Bulk).

## Properties
Fermi-level density of states in states/eV/atom: 1.555
VASP energy in eV per cell: -41.739
Calculated formation energy in eV per atom: -0.086

a = 3.491 Å, b = 7.928 Å, c = 10.854 Å
α = 106.18°, β = 99.26°, γ = 90.00°
Positions (direct):
Hg1 0.583 0.613 0.167
Hg2 0.417 0.387 0.833
Dy1 0.986 0.763 0.972
Dy2 0.623 0.043 0.246
Dy3 0.377 0.957 0.754
Dy4 0.176 0.451 0.353
Dy5 0.824 0.549 0.647
Dy6 0.014 0.237 0.028
Sc1 0.735 0.825 0.469
Sc2 0.265 0.175 0.531

---

# SiAsP

A relaxed structure of SiAsP (PBE-GGA, Alexandria via LeMat-Bulk).

## Properties
VASP energy in eV per cell: -91.966
Raw formation energy in meV per atom: 52

a = 5.300 Å, b = 9.517 Å, c = 8.876 Å
α = 79.16°, β = 72.63°, γ = 73.83°
Positions (direct):
As1 0.901 0.185 0.502
As2 0.131 0.425 0.715
As3 0.729 0.925 0.215
As4 0.412 0.685 0.002
As5 0.438 0.314 0.988
As6 0.260 0.814 0.488
Si1 0.824 0.262 0.764
Si2 0.150 0.762 0.264
Si3 0.912 0.680 0.648
Si4 0.002 0.870 0.952
Si5 0.760 0.180 0.148
Si6 0.177 0.370 0.452
P1 0.699 0.834 0.836
P2 0.947 0.568 0.311
P3 0.630 0.613 0.535
P4 0.222 0.113 0.035
P5 0.174 0.068 0.811
P6 0.631 0.334 0.336

---

# CaHg3

A relaxed structure of CaHg3 (PBE-GGA, Alexandria via LeMat-Bulk).

## Properties
Fermi-level density of states in states/eV/atom: 0.372
VASP energy in eV per cell: -4.428
Calculated formation energy in eV per atom: -0.380

a = 4.698 Å, b = 4.698 Å, c = 4.698 Å
α = 90.00°, β = 90.00°, γ = 90.00°
Positions (direct):
Ca1 0.500 0.000 0.583
Hg1 0.000 0.000 0.084
Hg2 0.000 0.500 0.583
Hg3 0.500 0.500 0.083

---

# HoH7Pd12

A relaxed structure of HoH7Pd12 (PBE-GGA, Alexandria via LeMat-Bulk).

## Properties
Fermi-level density of states in states/eV/atom: 0.434
VASP energy in eV per cell: -94.958

a = 7.138 Å, b = 6.527 Å, c = 6.527 Å
α = 72.50°, β = 68.62°, γ = 111.38°
Positions (direct):
Pd1 0.304 0.381 0.461
Pd2 0.922 0.158 0.381
Pd3 0.843 0.310 0.773
Pd4 0.468 0.083 0.690
Pd5 0.696 0.619 0.539
Pd6 0.078 0.842 0.619
Pd7 0.384 0.227 0.083
Pd8 0.532 0.917 0.310
Pd9 0.236 0.539 0.842
Pd10 0.764 0.461 0.158
Pd11 0.616 0.773 0.917
Pd12 0.157 0.690 0.227
H1 0.017 0.835 0.370
H2 0.613 0.630 0.205
H3 0.500 0.000 0.000
H4 0.182 0.795 0.835
H5 0.983 0.165 0.630
H6 0.387 0.370 0.795
H7 0.818 0.205 0.165
Ho1 0.000 0.000 0.000

---

# TeP5Pb2

A relaxed structure of TeP5Pb2 (PBE-GGA, Alexandria via LeMat-Bulk).

## Properties
Fermi-level density of states in states/eV/atom: 0.375
VASP energy in eV per cell: -73.170
Raw formation energy in meV per atom: 128

a = 7.365 Å, b = 7.365 Å, c = 9.469 Å
α = 67.85°, β = 67.85°, γ = 67.47°
Positions (direct):
Pb1 0.737 0.755 0.138
Pb2 0.755 0.737 0.638
Pb3 0.236 0.335 0.268
Pb4 0.335 0.236 0.768
P1 0.695 0.121 0.883
P2 0.768 0.254 0.308
P3 0.121 0.695 0.383
P4 0.254 0.768 0.808
P5 0.334 0.815 0.410
P6 0.444 0.606 0.614
P7 0.606 0.444 0.114
P8 0.815 0.334 0.910
P9 0.111 0.536 0.971
P10 0.536 0.111 0.471
Te1 0.042 0.991 0.146
Te2 0.991 0.042 0.646

---

# Sr2LaRhPb

A relaxed structure of Sr2LaRhPb (PBE-GGA, Alexandria via LeMat-Bulk).

## Properties
Fermi-level density of states in states/eV/atom: 0.423
VASP energy in eV per cell: -21.277
Calculated formation energy in eV per atom: -0.385

a = 5.782 Å, b = 5.782 Å, c = 5.402 Å
α = 90.00°, β = 90.00°, γ = 90.00°
Positions (direct):
Sr1 0.500 0.000 0.000
Sr2 0.000 0.500 0.000
Rh1 0.000 0.000 0.000
Pb1 0.500 0.500 0.500
La1 0.000 0.000 0.500

---

# DyNp2CuSe5

A relaxed structure of DyNp2CuSe5 (PBE-GGA, Alexandria via LeMat-Bulk).

## Properties
Fermi-level density of states in states/eV/atom: 2.004
VASP energy in eV per cell: -125.233
Raw formation energy in meV per atom: -1179

a = 3.957 Å, b = 8.817 Å, c = 12.263 Å
α = 90.00°, β = 90.00°, γ = 102.97°
Positions (direct):
Np1 0.881 0.762 0.193
Np2 0.107 0.214 0.347
Np3 0.119 0.238 0.693
Np4 0.893 0.786 0.847
Se1 0.689 0.378 0.856
Se2 0.345 0.690 0.019
Se3 0.986 0.973 0.520
Se4 0.304 0.607 0.692
Se5 0.696 0.393 0.192
Se6 0.311 0.622 0.356
Se7 0.497 0.994 0.747
Se8 0.655 0.310 0.519
Se9 0.014 0.027 0.020
Se10 0.503 0.006 0.247
Dy1 0.179 0.358 0.026
Dy2 0.821 0.642 0.526
Cu1 0.555 0.109 0.924
Cu2 0.445 0.891 0.424

---

# Zn2CoTc

A relaxed structure of Zn2CoTc (PBE-GGA, Alexandria via LeMat-Bulk).

## Properties
Fermi-level density of states in states/eV/atom: 0.781
VASP energy in eV per cell: -19.755
Calculated formation energy in eV per atom: 0.066

a = 8.895 Å, b = 8.895 Å, c = 8.895 Å
α = 17.37°, β = 17.37°, γ = 17.37°
Positions (direct):
Co1 0.498 0.498 0.498
Zn1 0.002 0.002 0.002
Zn2 0.244 0.244 0.244
Tc1 0.756 0.756 0.756

---

# LaIn3Ir

A relaxed structure of LaIn3Ir (PBE-GGA, Alexandria via LeMat-Bulk).

## Properties
Fermi-level density of states in states/eV/atom: 1.866
VASP energy in eV per cell: -13.332
Calculated formation energy in eV per atom: 1.734

a = 5.903 Å, b = 5.903 Å, c = 5.903 Å
α = 90.00°, β = 90.00°, γ = 90.00°
Positions (direct):
Ir1 0.500 0.500 0.500
In1 0.000 0.500 0.000
In2 0.500 0.000 0.000
In3 0.000 0.000 0.500
La1 0.000 0.000 0.000